(1)
Compound: Be2AlTe
Source: Alexandria via LeMat-Bulk
Functional: GGA-PBE
Structure: optimized geometry

Output
As for the density of states at the Fermi level: 0.419 states/eV per atom. The size of the total moment is 0.0000 μB per atom. For the formation energy without anion corrections, the calculation gives 62.49 kJ/mol of atoms. The total DFT energy (no corrections) comes out at -2.94 eV per atom.

Cell and atoms, written as CIF:
```
data_Be2AlTe
_chemical_formula_sum 'Be2 Al1 Te1'
_cell_length_a 4.3046
_cell_length_b 4.3046
_cell_length_c 3.4589
_cell_angle_alpha 90.00
_cell_angle_beta 90.00
_cell_angle_gamma 90.00
_space_group_name_H-M_alt 'P 4/m m m'
_space_group_IT_number 123
_space_group_name_Hall '-P 4 2'
loop_
_atom_site_label
_atom_site_type_symbol
_atom_site_fract_x
_atom_site_fract_y
_atom_site_fract_z
_atom_site_occupancy
Be1 Be 0.0000 0.5000 0.0000 1
Al1 Al 0.0000 0.0000 0.5000 1
Te1 Te 0.5000 0.5000 0.5000 1
```

(2)
Compound: Be2AlTe
Source: Alexandria via LeMat-Bulk
Functional: GGA-PBE
Structure: optimized geometry

Output
As for the density of states at the Fermi level: 0.297 states/eV per atom. The size of the total moment is 0.0000 μB per atom. For the formation energy without anion corrections, the calculation gives 53.45 kJ/mol of atoms. The total DFT energy (no corrections) comes out at -3.03 eV per atom.

Cell and atoms, written as CIF:
```
data_Be2AlTe
_chemical_formula_sum 'Be4 Al2 Te2'
_cell_length_a 4.7841
_cell_length_b 4.8563
_cell_length_c 5.5751
_cell_angle_alpha 90.00
_cell_angle_beta 90.00
_cell_angle_gamma 90.00
_space_group_name_H-M_alt 'C m m m'
_space_group_IT_number 65
_space_group_name_Hall '-C 2 2'
loop_
_atom_site_label
_atom_site_type_symbol
_atom_site_fract_x
_atom_site_fract_y
_atom_site_fract_z
_atom_site_occupancy
Be1 Be 0.0000 0.0000 0.1935 1
Al1 Al 0.0000 0.5000 0.0000 1
Te1 Te 0.0000 0.5000 0.5000 1
```

(3)
Compound: BeAlTe
Source: Alexandria via LeMat-Bulk
Functional: GGA-PBE
Structure: optimized geometry

Output
As for the density of states at the Fermi level: 0.308 states/eV per atom. The size of the total moment is 0.0000 μB per atom. For the formation energy without anion corrections, the calculation gives 15.02 kJ/mol of atoms. The total DFT energy (no corrections) comes out at -3.38 eV per atom.

Cell and atoms, written as CIF:
```
data_BeAlTe
_chemical_formula_sum 'Be2 Al2 Te2'
_cell_length_a 4.2460
_cell_length_b 5.2334
_cell_length_c 6.1267
_cell_angle_alpha 87.91
_cell_angle_beta 70.52
_cell_angle_gamma 89.76
_space_group_name_H-M_alt 'P 1'
_space_group_IT_number 1
_space_group_name_Hall 'P 1'
loop_
_atom_site_label
_atom_site_type_symbol
_atom_site_fract_x
_atom_site_fract_y
_atom_site_fract_z
_atom_site_occupancy
Be1 Be 0.0000 0.0000 0.0000 1
Be2 Be 0.3787 0.2096 0.6917 1
Al1 Al 0.1810 0.6927 0.6966 1
Al2 Al 0.9762 0.2378 0.5120 1
Te1 Te 0.4921 0.2642 0.0437 1
Te2 Te 0.8213 0.7388 0.3814 1
```

(4)
Compound: Be2AlTe
Source: Alexandria via LeMat-Bulk
Functional: GGA-PBE
Structure: optimized geometry

Output
As for the density of states at the Fermi level: 0.211 states/eV per atom. The size of the total moment is 0.0000 μB per atom. For the formation energy without anion corrections, the calculation gives 40.44 kJ/mol of atoms. The total DFT energy (no corrections) comes out at -3.17 eV per atom.

Cell and atoms, written as CIF:
```
data_Be2AlTe
_chemical_formula_sum 'Be4 Al2 Te2'
_cell_length_a 3.5104
_cell_length_b 3.5945
_cell_length_c 10.5585
_cell_angle_alpha 90.00
_cell_angle_beta 90.00
_cell_angle_gamma 90.00
_space_group_name_H-M_alt 'I m m 2'
_space_group_IT_number 44
_space_group_name_Hall 'I 2 -2'
loop_
_atom_site_label
_atom_site_type_symbol
_atom_site_fract_x
_atom_site_fract_y
_atom_site_fract_z
_atom_site_occupancy
Be1 Be 0.0000 0.0000 0.0000 1
Be2 Be 0.0000 0.5000 0.1215 1
Al1 Al 0.0000 0.0000 0.4413 1
Te1 Te 0.0000 0.5000 0.7155 1
```

(5)
Compound: Be3AlTe
Source: Alexandria via LeMat-Bulk
Functional: GGA-PBE
Structure: optimized geometry

Output
As for the density of states at the Fermi level: 1.183 states/eV per atom. The size of the total moment is 0.0002 μB per atom. For the formation energy without anion corrections, the calculation gives 130.93 kJ/mol of atoms. The total DFT energy (no corrections) comes out at -2.26 eV per atom.

Cell and atoms, written as CIF:
```
data_Be3AlTe
_chemical_formula_sum 'Be3 Al1 Te1'
_cell_length_a 4.7211
_cell_length_b 4.7211
_cell_length_c 4.7211
_cell_angle_alpha 90.00
_cell_angle_beta 90.00
_cell_angle_gamma 90.00
_space_group_name_H-M_alt 'P m -3 m'
_space_group_IT_number 221
_space_group_name_Hall '-P 4 2 3'
loop_
_atom_site_label
_atom_site_type_symbol
_atom_site_fract_x
_atom_site_fract_y
_atom_site_fract_z
_atom_site_occupancy
Be1 Be 0.0000 0.0000 0.5000 1
Al1 Al 0.5000 0.5000 0.5000 1
Te1 Te 0.0000 0.0000 0.0000 1
```

(6)
Compound: BeAl2Te
Source: Alexandria via LeMat-Bulk
Functional: GGA-PBE
Structure: optimized geometry

Output
As for the density of states at the Fermi level: 0.334 states/eV per atom. The size of the total moment is 0.0000 μB per atom. For the formation energy without anion corrections, the calculation gives 34.27 kJ/mol of atoms. The total DFT energy (no corrections) comes out at -3.23 eV per atom.

Cell and atoms, written as CIF:
```
data_BeAl2Te
_chemical_formula_sum 'Be1 Al2 Te1'
_cell_length_a 2.9607
_cell_length_b 3.1216
_cell_length_c 7.9859
_cell_angle_alpha 90.00
_cell_angle_beta 90.00
_cell_angle_gamma 90.00
_space_group_name_H-M_alt 'P m m m'
_space_group_IT_number 47
_space_group_name_Hall '-P 2 2'
loop_
_atom_site_label
_atom_site_type_symbol
_atom_site_fract_x
_atom_site_fract_y
_atom_site_fract_z
_atom_site_occupancy
Be1 Be 0.0000 0.0000 0.0000 1
Al1 Al 0.5000 0.5000 0.1807 1
Te1 Te 0.0000 0.0000 0.5000 1
```

(7)
Compound: BeAlTe
Source: Alexandria via LeMat-Bulk
Functional: GGA-PBE
Structure: optimized geometry

Output
As for the density of states at the Fermi level: 0.261 states/eV per atom. The size of the total moment is 0.0000 μB per atom. For the formation energy without anion corrections, the calculation gives 18.39 kJ/mol of atoms. The total DFT energy (no corrections) comes out at -3.35 eV per atom.

Cell and atoms, written as CIF:
```
data_BeAlTe
_chemical_formula_sum 'Be2 Al2 Te2'
_cell_length_a 6.4878
_cell_length_b 3.7561
_cell_length_c 5.8361
_cell_angle_alpha 90.00
_cell_angle_beta 112.19
_cell_angle_gamma 90.00
_space_group_name_H-M_alt 'C 1 m 1'
_space_group_IT_number 8
_space_group_name_Hall 'C -2y'
loop_
_atom_site_label
_atom_site_type_symbol
_atom_site_fract_x
_atom_site_fract_y
_atom_site_fract_z
_atom_site_occupancy
Be1 Be 0.0000 0.0000 0.0000 1
Al1 Al 0.0758 0.5000 0.7330 1
Te1 Te 0.4066 0.0000 0.2156 1
```

(8)
Compound: Be2AlTe
Source: Alexandria via LeMat-Bulk
Functional: GGA-PBE
Structure: optimized geometry

Output
As for the density of states at the Fermi level: 0.209 states/eV per atom. The size of the total moment is 0.0000 μB per atom. For the formation energy without anion corrections, the calculation gives 47.27 kJ/mol of atoms. The total DFT energy (no corrections) comes out at -3.09 eV per atom.

Cell and atoms, written as CIF:
```
data_Be2AlTe
_chemical_formula_sum 'Be4 Al2 Te2'
_cell_length_a 3.9374
_cell_length_b 4.9799
_cell_length_c 7.0423
_cell_angle_alpha 90.00
_cell_angle_beta 90.00
_cell_angle_gamma 90.00
_space_group_name_H-M_alt 'C m m 2'
_space_group_IT_number 35
_space_group_name_Hall 'C 2 -2'
loop_
_atom_site_label
_atom_site_type_symbol
_atom_site_fract_x
_atom_site_fract_y
_atom_site_fract_z
_atom_site_occupancy
Be1 Be 0.0000 0.0000 0.0000 1
Be2 Be 0.0000 0.5000 0.1366 1
Al1 Al 0.0000 0.5000 0.7951 1
Te1 Te 0.0000 0.0000 0.3743 1
```